! PBE PaGe2Mo, optimized geometry; values from VASP
&SYSTEM
  ibrav = 0, nat = 4, ntyp = 3
/
ATOMIC_SPECIES
Pa 231.04 Pa.upf
Ge 72.64 Ge.upf
Mo 95.94 Mo.upf
CELL_PARAMETERS angstrom
0.0000 3.3245 3.3245
3.3245 0.0000 3.3245
3.3245 3.3245 0.0000
ATOMIC_POSITIONS angstrom
Pa 0.0000 0.0000 0.0000
Ge 1.6623 1.6623 1.6623
Ge 4.9868 4.9868 4.9868
Mo 3.3245 3.3245 3.3245
! Density ... 10.67 Mg/m³
! Excess energy over the best structure of this formula in the dataset ... 52 meV/atom
! ΔE_f ... -269 meV/atom